Computed, not measured: a crystal of Y2AlIn2 relaxed with PBEsol at the SCAN level of DFT.

Energy relative to the elements in meV/atom: -576.1
Total magnetization in μB per formula unit: 0.000

Cell and atoms, written as POSCAR:
```
Y2AlIn2
1.0
7.267 0.000 0.000
0.000 7.267 0.000
0.000 0.000 4.632
Y Al In
4 2 4
Direct
0.170 0.330 0.000
0.330 0.830 0.000
0.670 0.170 0.000
0.830 0.670 0.000
0.000 0.000 0.500
0.500 0.500 0.500
0.137 0.637 0.500
0.363 0.137 0.500
0.637 0.863 0.500
0.863 0.363 0.500
```